# 1
Ca2PmPr3Se6 GGA-PBE relaxed; space group = No. 12
1.0
-4.1793 -0.1193 -5.9772
-2.2529 -3.2957 6.1050
-0.9464 7.0603 2.0071
Se Pr Ca Pm
6 3 2 1
direct
0.4163 0.0801 0.2398
0.0801 0.4163 0.2398
0.5837 0.9199 0.7602
0.9199 0.5837 0.7602
0.2553 0.2553 0.7575
0.7447 0.7447 0.2425
0.8321 0.1679 0.5000
0.1679 0.8321 0.5000
0.5000 0.5000 0.5000
0.6670 0.3330 0.0000
0.3330 0.6670 0.0000
0.0000 0.0000 0.0000



# 2
CaPm3Pr4Se8 GGA-PBE relaxed; space group = No. 166
1.0
8.4475 0.0000 0.0000
0.0000 8.4791 0.0165
-4.2237 -4.2192 5.9766
Se Pr Pm Ca
8 4 3 1
direct
0.2456 0.7416 0.9961
0.7481 0.7439 0.4961
0.7545 0.2585 0.5091
0.2495 0.2584 0.0039
0.7544 0.2584 0.0039
0.7505 0.7416 0.9961
0.2455 0.7415 0.4909
0.2519 0.2561 0.5039
0.0000 0.0000 0.0000
0.0000 0.0000 0.5000
0.5000 0.0000 0.0000
0.5000 0.0000 0.5000
0.0000 0.5000 0.5000
0.5000 0.5000 0.0000
0.5000 0.5000 0.5000
0.0000 0.5000 0.0000



In order of appearance, uncorrected energy = -66.60, -92.88 eV per formula unit.
In order of appearance, M_tot = 0.00, 0.00 Bohr magnetons per cell.